[1]
The following is a PBE-GGA calculation of Mn2MoAs after structural relaxation, from the Alexandria database.

abc: 8.089 8.089 8.089
angles: 20.33 20.33 20.33
Positions (direct):
1 Mn 0.999 0.999 0.999
2 As 0.745 0.745 0.745
3 Mn 0.253 0.253 0.253
4 Mo 0.503 0.503 0.503

=====

[2]
The following is a PBE-GGA calculation of MnMo2As after structural relaxation, from the Alexandria database.

abc: 8.154 8.154 8.154
angles: 21.14 21.14 21.14
Positions (direct):
1 Mo 0.003 0.003 0.003
2 Mn 0.751 0.751 0.751
3 Mo 0.249 0.249 0.249
4 As 0.498 0.498 0.498

=====

[3]
The following is a PBE-GGA calculation of MnMoAs2 after structural relaxation, from the Alexandria database.

abc: 2.887 2.887 7.911
angles: 90.00 90.00 90.00
Positions (direct):
1 As 0.500 0.500 0.331
2 As 0.000 0.000 0.949
3 Mn 0.000 0.000 0.508
4 Mo 0.500 0.500 0.712

## Properties
- excess energy over the best structure of this formula in the dataset (meV per atom) = 260.2

=====

[4]
The following is a PBE-GGA calculation of Mn2MoAs after structural relaxation, from the Alexandria database.

abc: 2.747 2.747 7.832
angles: 90.00 90.00 107.12
Positions (direct):
1 As 0.500 0.500 0.750
2 Mn 0.000 0.000 0.990
3 Mo 0.500 0.500 0.250
4 Mn 0.000 0.000 0.510

=====

[5]
The following is a PBE-GGA calculation of MnMo2As after structural relaxation, from the Alexandria database.

abc: 4.881 4.881 4.881
angles: 134.65 134.65 66.07
Positions (direct):
1 Mn 0.750 0.250 0.500
2 Mo 0.000 0.000 0.000
3 Mo 0.500 0.500 0.000
4 As 0.250 0.750 0.500

=====

[6]
The following is a PBE-GGA calculation of Mn2MoAs after structural relaxation, from the Alexandria database.

abc: 2.959 2.959 6.090
angles: 90.00 90.00 90.00
Positions (direct):
1 Mo 0.000 0.000 0.497
2 Mn 0.000 0.000 0.991
3 As 0.500 0.500 0.778
4 Mn 0.500 0.500 0.233

=====

no.,total DFT energy (no corrections) (eV/atom),formation enthalpy at 0 K (meV per atom),total magnetic moment (μB per cell)
1,-8.1534,301,3.44
2,-8.6103,260,2.38
3,-7.3236,1,0.00
4,-8.2843,171,4.35
5,-8.7779,92,1.45
6,-8.3452,110,1.61